5
Lattice="6.3056 0.0000 0.0000 0.0000 6.3056 0.0000 0.0000 0.0000 6.3056" Properties=species:S:1:pos:R:3 comment="K3SbAs PBE-GGA relaxed" raw_formation_energy_ev_per_atom=0.07 e_above_lowest_polymorph_ev_per_atom=0.000 sg=Pm-3m pbc="T T T"
K 0.0000 0.0000 3.1528
K 0.0000 3.1528 0.0000
K 3.1528 0.0000 0.0000
Sb 3.1528 3.1528 3.1528
As 0.0000 0.0000 0.0000